No. 1
# PrY3Tm6Sc2, relaxed, DFT PBE-GGA
# Calculated formation energy (eV per atom): 0.044
# Electronic total energy (eV for the cell shown): -126.3
data_PrY3Tm6Sc2
_chemical_formula_sum 'Pr2 Y6 Tm12 Sc4'
_space_group_name_H-M_alt 'C 1 2/m 1'
_space_group_IT_number 12
_space_group_name_Hall '-C 2y'
_cell_length_a 6.042
_cell_length_b 10.454
_cell_length_c 11.595
_cell_angle_alpha 90.00
_cell_angle_beta 99.96
_cell_angle_gamma 90.00
loop_
_atom_site_label
_atom_site_fract_x
_atom_site_fract_y
_atom_site_fract_z
Pr1 0.000 0.000 0.000
Y1 0.000 0.167 0.500
Y2 0.000 0.500 0.500
Tm1 0.247 0.500 0.246
Tm2 0.249 0.332 0.754
Sc1 0.000 0.333 0.000

***

No. 2
# PC, relaxed, DFT PBE-GGA
# Calculated formation energy (eV per atom): 0.674
# Electronic total energy (eV for the cell shown): -79.7
data_PC
_chemical_formula_sum 'P6 C6'
_space_group_name_H-M_alt 'C 1 m 1'
_space_group_IT_number 8
_space_group_name_Hall 'C -2y'
_cell_length_a 14.395
_cell_length_b 2.916
_cell_length_c 4.302
_cell_angle_alpha 90.00
_cell_angle_beta 103.60
_cell_angle_gamma 90.00
loop_
_atom_site_label
_atom_site_fract_x
_atom_site_fract_y
_atom_site_fract_z
P1 0.000 0.000 0.000
P2 0.153 0.500 0.733
P3 0.325 0.000 0.562
C1 0.063 0.500 0.923
C2 0.214 0.000 0.703
C3 0.386 0.500 0.720

***

No. 3
# Pr8GePb5, relaxed, DFT PBE-GGA
# Calculated formation energy (eV per atom): -0.611
# Electronic total energy (eV for the cell shown): -139.9
data_Pr8GePb5
_chemical_formula_sum 'Pr16 Ge2 Pb10'
_space_group_name_H-M_alt 'I -4'
_space_group_IT_number 82
_space_group_name_Hall 'I -4'
_cell_length_a 9.693
_cell_length_b 9.693
_cell_length_c 9.737
_cell_angle_alpha 90.00
_cell_angle_beta 90.00
_cell_angle_gamma 90.00
loop_
_atom_site_label
_atom_site_fract_x
_atom_site_fract_y
_atom_site_fract_z
Pr1 0.067 0.307 0.054
Pr2 0.069 0.179 0.698
Ge1 0.000 0.000 0.000
Pb1 0.000 0.500 0.750
Pb2 0.122 0.251 0.377